Compound: NaCa3P
Source: Alexandria via LeMat-Bulk
Functional: GGA-PBE
Structure: optimized geometry

VASP energy ... -3.0337 eV/atom
E_form ... -0.487 eV/atom
Spin magnetization ... 0.001 μB per cell

Geometry as CIF:
```
data_NaCa3P
_chemical_formula_sum 'Na1 Ca3 P1'
_symmetry_space_group_name_H-M 'P m -3 m'
_symmetry_Int_Tables_number 221
_symmetry_space_group_name_Hall '-P 4 2 3'
_cell_length_a 5.642
_cell_length_b 5.642
_cell_length_c 5.642
_cell_angle_alpha 90.00
_cell_angle_beta 90.00
_cell_angle_gamma 90.00
loop_
_atom_site_label
_atom_site_type_symbol
_atom_site_fract_x
_atom_site_fract_y
_atom_site_fract_z
Na1 Na 0.000 0.000 0.000
Ca1 Ca 0.000 0.500 0.500
P1 P 0.500 0.500 0.500
```



Compound: NaCaP3
Source: Alexandria via LeMat-Bulk
Functional: GGA-PBE
Structure: optimized geometry

VASP energy ... -3.2615 eV/atom
E_form ... 0.649 eV/atom
Spin magnetization ... 0.000 μB per cell

Geometry as CIF:
```
data_NaCaP3
_chemical_formula_sum 'Na1 Ca1 P3'
_symmetry_space_group_name_H-M 'P m -3 m'
_symmetry_Int_Tables_number 221
_symmetry_space_group_name_Hall '-P 4 2 3'
_cell_length_a 5.258
_cell_length_b 5.258
_cell_length_c 5.258
_cell_angle_alpha 90.00
_cell_angle_beta 90.00
_cell_angle_gamma 90.00
loop_
_atom_site_label
_atom_site_type_symbol
_atom_site_fract_x
_atom_site_fract_y
_atom_site_fract_z
Na1 Na 0.000 0.000 0.000
Ca1 Ca 0.500 0.500 0.500
P1 P 0.000 0.500 0.500
```



Compound: NaCa3P
Source: Alexandria via LeMat-Bulk
Functional: GGA-PBE
Structure: optimized geometry

VASP energy ... -3.0283 eV/atom
E_form ... -0.482 eV/atom
Spin magnetization ... 1.402 μB per cell

Geometry as CIF:
```
data_NaCa3P
_chemical_formula_sum 'Na4 Ca12 P4'
_symmetry_space_group_name_H-M 'C 1 2/m 1'
_symmetry_Int_Tables_number 12
_cell_length_a 13.186
_cell_length_b 5.739
_cell_length_c 10.184
_cell_angle_alpha 90.00
_cell_angle_beta 112.37
_cell_angle_gamma 90.00
loop_
_symmetry_equiv_pos_as_xyz
'x,y,z'
'-x,-y,-z'
'-x,y,-z'
'x,-y,z'
'x+1/2,y+1/2,z'
'-x+1/2,-y+1/2,-z'
'-x+1/2,y+1/2,-z'
'x+1/2,-y+1/2,z'
loop_
_atom_site_label
_atom_site_type_symbol
_atom_site_fract_x
_atom_site_fract_y
_atom_site_fract_z
Na1 Na 0.111 0.000 0.437
Ca1 Ca 0.103 0.500 0.195
Ca2 Ca 0.140 0.000 0.936
Ca3 Ca 0.145 0.500 0.667
P1 P 0.127 0.500 0.929
```



Compound: NaCa3P
Source: Alexandria via LeMat-Bulk
Functional: GGA-PBE
Structure: optimized geometry

VASP energy ... -2.9775 eV/atom
E_form ... -0.431 eV/atom
Spin magnetization ... 0.000 μB per cell

Geometry as CIF:
```
data_NaCa3P
_chemical_formula_sum 'Na6 Ca18 P6'
_symmetry_space_group_name_H-M 'R -3'
_symmetry_Int_Tables_number 148
_symmetry_space_group_name_Hall '-R 3'
_cell_length_a 7.3407
_cell_length_b 7.3407
_cell_length_c 21.9947
_cell_angle_alpha 90.00
_cell_angle_beta 90.00
_cell_angle_gamma 120.00
loop_
_atom_site_label
_atom_site_type_symbol
_atom_site_fract_x
_atom_site_fract_y
_atom_site_fract_z
Na1 Na 0.0000 0.0000 0.1779
Ca1 Ca 0.0175 0.3729 0.2671
P1 P 0.0000 0.0000 0.3189
```



Compound: NaCa3P
Source: Alexandria via LeMat-Bulk
Functional: GGA-PBE
Structure: optimized geometry

VASP energy ... -3.0370 eV/atom
E_form ... -0.490 eV/atom
Spin magnetization ... 0.001 μB per cell

Geometry as CIF:
```
data_NaCa3P
_chemical_formula_sum 'Na8 Ca24 P8'
_symmetry_space_group_name_H-M 'C 1 2/c 1'
_symmetry_Int_Tables_number 15
_cell_length_a 14.033
_cell_length_b 15.704
_cell_length_c 7.141
_cell_angle_alpha 90.00
_cell_angle_beta 111.59
_cell_angle_gamma 90.00
loop_
_symmetry_equiv_pos_as_xyz
'x,y,z'
'-x,-y,-z'
'-x,y,-z+1/2'
'x,-y,z+1/2'
'x+1/2,y+1/2,z'
'-x+1/2,-y+1/2,-z'
'-x+1/2,y+1/2,-z+1/2'
'x+1/2,-y+1/2,z+1/2'
loop_
_atom_site_label
_atom_site_type_symbol
_atom_site_fract_x
_atom_site_fract_y
_atom_site_fract_z
Na1 Na 0.128 0.062 0.483
Ca1 Ca 0.116 0.434 0.003
Ca2 Ca 0.121 0.305 0.508
Ca3 Ca 0.126 0.178 0.999
P1 P 0.000 0.299 0.750
P2 P 0.000 0.432 0.250
```



Compound: NaCa3P
Source: Alexandria via LeMat-Bulk
Functional: GGA-PBE
Structure: optimized geometry

VASP energy ... -2.7022 eV/atom
E_form ... -0.156 eV/atom
Spin magnetization ... 0.000 μB per cell

Geometry as CIF:
```
data_NaCa3P
_chemical_formula_sum 'Na2 Ca6 P2'
_symmetry_space_group_name_H-M 'A m m 2'
_symmetry_Int_Tables_number 38
_cell_length_a 4.019
_cell_length_b 7.637
_cell_length_c 18.786
_cell_angle_alpha 90.00
_cell_angle_beta 90.00
_cell_angle_gamma 90.00
loop_
_symmetry_equiv_pos_as_xyz
'x,y,z'
'-x,-y,z'
'-x,y,z'
'x,-y,z'
'x,y+1/2,z+1/2'
'-x,-y+1/2,z+1/2'
'-x,y+1/2,z+1/2'
'x,-y+1/2,z+1/2'
loop_
_atom_site_label
_atom_site_type_symbol
_atom_site_fract_x
_atom_site_fract_y
_atom_site_fract_z
Na1 Na 0.000 0.000 0.000
Ca1 Ca 0.000 0.247 0.671
Ca2 Ca 0.500 0.000 0.830
P1 P 0.500 0.000 0.685
```